12
Lattice="3.709 -6.400 0.000 3.709 6.400 0.000 -2.471 0.000 6.954" Properties=species:S:1:pos:R:3 comment="Pr6RhSe5 | Alexandria | GGA-PBE | relaxed" total_energy_ev_per_fu=-73.253 space_group="No. 12" raw_formation_energy_mev_per_atom=-1650.1 pbc="T T T"
Pr 1.187 2.058 1.672
Pr -0.079 0.000 5.248
Pr 1.187 -2.058 1.672
Pr 3.760 2.058 5.282
Pr 5.026 0.000 1.706
Pr 3.760 -2.058 5.282
Rh 0.000 0.000 0.000
Se 2.473 4.187 3.477
Se 3.709 2.122 0.000
Se 2.473 0.000 3.477
Se 3.709 -2.122 0.000
Se 2.473 -4.187 3.477

4
Lattice="4.454 0.000 0.000 0.000 2.705 3.718 0.000 -2.705 3.718" Properties=species:S:1:pos:R:3 comment="DyZn2In | Alexandria | GGA-PBE | relaxed" total_energy_ev_per_fu=-10.288 formation_enthalpy_0k_ev_per_atom=-0.0999 space_group="No. 38" pbc="T T T"
Dy 0.000 0.000 0.000
Zn 0.000 0.000 4.390
Zn 2.227 0.000 5.414
In 2.227 0.000 2.557

5
Lattice="4.523 0.000 0.000 0.000 4.523 0.000 0.000 0.000 4.523" Properties=species:S:1:pos:R:3 comment="ZrFe3Pd | Alexandria | GGA-PBE | relaxed" total_energy_ev_per_fu=-31.649 formation_enthalpy_0k_ev_per_atom=1.4960 space_group="No. 221" e_above_lowest_polymorph_ev_per_atom=0.521 pbc="T T T"
Zr 0.000 0.000 0.000
Fe 0.000 0.000 2.261
Fe 0.000 2.261 0.000
Fe 2.261 0.000 0.000
Pd 2.261 2.261 2.261

12
Lattice="5.231 0.000 0.000 -2.616 4.530 0.000 0.000 0.000 12.802" Properties=species:S:1:pos:R:3 comment="CaPr2Zn3 | Alexandria | GGA-PBE | relaxed" total_energy_ev_per_fu=-17.189 formation_enthalpy_0k_ev_per_atom=-0.3011 space_group="No. 164" e_above_lowest_polymorph_ev_per_atom=0.000 pbc="T T T"
Ca 0.000 3.020 2.140
Ca 2.616 1.510 10.662
Pr 0.000 0.000 0.000
Pr 0.000 0.000 6.401
Pr 0.000 3.020 8.611
Pr 2.616 1.510 4.191
Zn 0.000 0.000 3.191
Zn 0.000 0.000 9.611
Zn 0.000 3.020 5.341
Zn 0.000 3.020 11.738
Zn 2.616 1.510 1.064
Zn 2.616 1.510 7.461